This record from the Alexandria database describes a geometry-optimized LiCa2PdO structure. The functional is PBE-GGA.

The structure in CIF format:
```
data_LiCa2PdO
_chemical_formula_sum 'Li1 Ca2 Pd1 O1'
_space_group_name_H-M_alt 'P 4/m m m'
_space_group_IT_number 123
_space_group_name_Hall '-P 4 2'
_cell_length_a 4.7788
_cell_length_b 4.7788
_cell_length_c 4.0162
_cell_angle_alpha 90.00
_cell_angle_beta 90.00
_cell_angle_gamma 90.00
loop_
_atom_site_label
_atom_site_fract_x
_atom_site_fract_y
_atom_site_fract_z
Li1 0.0000 0.0000 0.0000
Ca1 0.0000 0.5000 0.5000
Pd1 0.5000 0.5000 0.0000
O1 0.0000 0.0000 0.5000
```

- Raw formation energy: -133.2 kJ per mole of atoms
- Density: 3.8 Mg/m³



This record from the Alexandria database describes a geometry-optimized PuInF structure. The functional is PBE-GGA.

The structure in CIF format:
```
data_PuInF
_chemical_formula_sum 'Pu6 In6 F6'
_space_group_name_H-M_alt 'R -3 m'
_space_group_IT_number 166
_space_group_name_Hall '-R 3 2"'
_cell_length_a 4.1469
_cell_length_b 4.1469
_cell_length_c 28.2494
_cell_angle_alpha 90.00
_cell_angle_beta 90.00
_cell_angle_gamma 120.00
loop_
_atom_site_label
_atom_site_fract_x
_atom_site_fract_y
_atom_site_fract_z
Pu1 0.0000 0.0000 0.1064
In1 0.0000 0.0000 0.3623
F1 0.0000 0.0000 0.1957
```

- Raw formation energy: -142.1 kJ per mole of atoms
- Density: 8.9 Mg/m³
- E above lowest polymorph: 0 meV per atom



This record from the Alexandria database describes a geometry-optimized Tb2DyHo structure. The functional is PBE-GGA.

The structure in CIF format:
```
data_Tb2DyHo
_chemical_formula_sum 'Tb6 Dy3 Ho3'
_space_group_name_H-M_alt 'R 3 m'
_space_group_IT_number 160
_space_group_name_Hall 'R 3 -2"'
_cell_length_a 3.5655
_cell_length_b 3.5655
_cell_length_c 34.2871
_cell_angle_alpha 90.00
_cell_angle_beta 90.00
_cell_angle_gamma 120.00
loop_
_atom_site_label
_atom_site_fract_x
_atom_site_fract_y
_atom_site_fract_z
Tb1 0.0000 0.0000 0.0000
Tb2 0.0000 0.0000 0.1658
Dy1 0.0000 0.0000 0.5829
Ho1 0.0000 0.0000 0.4166
```

- Density: 8.5 Mg/m³
- E above lowest polymorph: 0 meV per atom
- Calculated formation energy: 1 kJ per mole of atoms



This record from the Alexandria database describes a geometry-optimized Tc8Pt structure. The functional is PBE-GGA.

The structure in CIF format:
```
data_Tc8Pt
_chemical_formula_sum 'Tc16 Pt2'
_space_group_name_H-M_alt 'I 4/m m m'
_space_group_IT_number 139
_space_group_name_Hall '-I 4 2'
_cell_length_a 8.2412
_cell_length_b 8.2412
_cell_length_c 3.8919
_cell_angle_alpha 90.00
_cell_angle_beta 90.00
_cell_angle_gamma 90.00
loop_
_atom_site_label
_atom_site_fract_x
_atom_site_fract_y
_atom_site_fract_z
Tc1 0.0000 0.3358 0.0000
Tc2 0.1704 0.1704 0.5000
Pt1 0.0000 0.0000 0.0000
```

- Density: 12.3 Mg/m³
- Calculated formation energy: 0 kJ per mole of atoms



This record from the Alexandria database describes a geometry-optimized ScRu2Br structure. The functional is PBE-GGA.

The structure in CIF format:
```
data_ScRu2Br
_chemical_formula_sum 'Sc2 Ru4 Br2'
_space_group_name_H-M_alt 'C m m m'
_space_group_IT_number 65
_space_group_name_Hall '-C 2 2'
_cell_length_a 3.1021
_cell_length_b 5.1577
_cell_length_c 8.7007
_cell_angle_alpha 90.00
_cell_angle_beta 90.00
_cell_angle_gamma 90.00
loop_
_atom_site_label
_atom_site_fract_x
_atom_site_fract_y
_atom_site_fract_z
Sc1 0.0000 0.0000 0.0000
Ru1 0.0000 0.5000 0.2429
Br1 0.0000 0.0000 0.5000
```

- Raw formation energy: 42.2 kJ per mole of atoms
- Density: 7.8 Mg/m³
- E above lowest polymorph: 519 meV per atom



This record from the Alexandria database describes a geometry-optimized Ni2Pt structure. The functional is PBE-GGA.

The structure in CIF format:
```
data_Ni2Pt
_chemical_formula_sum 'Ni8 Pt4'
_space_group_name_H-M_alt 'P a -3'
_space_group_IT_number 205
_space_group_name_Hall '-P 2ac 2ab 3'
_cell_length_a 5.7787
_cell_length_b 5.7787
_cell_length_c 5.7787
_cell_angle_alpha 90.00
_cell_angle_beta 90.00
_cell_angle_gamma 90.00
loop_
_atom_site_label
_atom_site_fract_x
_atom_site_fract_y
_atom_site_fract_z
Ni1 0.1138 0.1138 0.1138
Pt1 0.0000 0.0000 0.5000
```

- Density: 10.8 Mg/m³
- Calculated formation energy: 66 kJ per mole of atoms



Respective VASP energy values: -23.0, -140.2, -55.2, -177.9, -49.6, -62.2 eV/cell.